Record 1
Entry from Alexandria: a relaxed LiLaFe2Re crystal (PBE-GGA).

Computed properties:
The magnetic moment comes out at 4.2 μB/cell. As for the uncorrected energy: -5.3566 eV/atom. The density of states at the Fermi level is 5.4 states/eV/cell.

a = 4.460 Å, b = 4.460 Å, c = 4.385 Å
α = 90.00°, β = 90.00°, γ = 90.00°
Element x y z (fractional)
Li  0.000  0.000  0.000
La  0.000  0.000  0.500
Fe  0.000  0.500  0.500
Fe  0.500  0.000  0.500
Re  0.500  0.500  0.000

=====

Record 2
Entry from Alexandria: a relaxed Nd7Sb2Ru2 crystal (PBE-GGA).

Computed properties:
The magnetic moment comes out at 0.0 μB/cell. For the formation energy (no corrections), the calculation gives -0.3757 eV per atom. The density of states at the Fermi level is 9.3 states/eV/cell.

a = 7.010 Å, b = 7.010 Å, c = 7.289 Å
α = 90.00°, β = 90.00°, γ = 102.36°
Element x y z (fractional)
Nd  0.000  0.000  0.000
Nd  0.000  0.500  0.248
Nd  0.000  0.500  0.752
Nd  0.500  0.000  0.248
Nd  0.500  0.000  0.752
Nd  0.500  0.500  0.231
Nd  0.500  0.500  0.769
Sb  0.203  0.203  0.500
Sb  0.797  0.797  0.500
Ru  0.278  0.722  0.000
Ru  0.722  0.278  0.000

=====

Record 3
Entry from Alexandria: a relaxed CoPd3Au crystal (PBE-GGA).

Computed properties:
The magnetic moment comes out at 5.8 μB/cell. As for the uncorrected energy: -5.1692 eV/atom. The density of states at the Fermi level is 10.6 states/eV/cell.

a = 7.392 Å, b = 7.392 Å, c = 5.621 Å
α = 101.06°, β = 101.06°, γ = 30.26°
Element x y z (fractional)
Co  0.000  0.000  0.000
Co  0.003  0.003  0.460
Pd  0.197  0.197  0.576
Pd  0.406  0.406  0.183
Pd  0.595  0.595  0.773
Pd  0.596  0.596  0.278
Pd  0.804  0.804  0.380
Pd  0.804  0.804  0.880
Au  0.198  0.198  0.076
Au  0.405  0.405  0.682

=====

magnetic moment of number 2 (Nd7Sb2Ru2)? 0.0 μB/cell